(1)
A plane-wave DFT calculation with GGA-PBE was carried out for crystalline SiBiBTe at its relaxed geometry.

a = 3.349 Å, b = 4.639 Å, c = 7.321 Å
α = 75.75°, β = 89.85°, γ = 68.92°
Space group P1 (No. 1)
Inequivalent atoms, fractional coordinates:
Si 0.000 0.000 0.000 (multiplicity 1)
Bi 0.717 0.572 0.730 (multiplicity 1)
B 0.623 0.754 0.025 (multiplicity 1)
Te 0.838 0.318 0.273 (multiplicity 1)

Summary:
ΔE to the lowest computed polymorph (meV per atom): 28
Magnetic moment (μB per formula unit): 0.0
Formation energy (no corrections) (eV/atom): 0.203

=====

(2)
A plane-wave DFT calculation with GGA-PBE was carried out for crystalline HfTa2HPt at its relaxed geometry.

a = 4.045 Å, b = 4.045 Å, c = 4.558 Å
α = 90.00°, β = 90.00°, γ = 90.00°
Space group P4/mmm (No. 123)
Inequivalent atoms, fractional coordinates:
Hf 0.000 0.000 0.000 (multiplicity 1)
Ta 0.000 0.500 0.500 (multiplicity 2)
H 0.000 0.000 0.500 (multiplicity 1)
Pt 0.500 0.500 0.000 (multiplicity 1)

Summary:
E_tot (eV/atom): -8.943
Magnetic moment (μB per formula unit): 0.0

=====

(3)
A plane-wave DFT calculation with GGA-PBE was carried out for crystalline PtSe2Cl at its relaxed geometry.

a = 3.613 Å, b = 3.613 Å, c = 7.800 Å
α = 90.00°, β = 90.00°, γ = 90.00°
Space group P4/mmm (No. 123)
Inequivalent atoms, fractional coordinates:
Pt 0.000 0.000 0.000 (multiplicity 1)
Se 0.000 0.500 0.500 (multiplicity 2)
Cl 0.500 0.500 0.000 (multiplicity 1)

Summary:
ΔE to the lowest computed polymorph (meV per atom): 808
Magnetic moment (μB per formula unit): 0.0
Formation energy (no corrections) (eV/atom): 0.463